1.
Compound: TaRe2Cl
Source: Alexandria
Functional: PBE
Structure: optimized geometry

POSCAR file:
```
TaRe2Cl
1.0
-3.197 -3.187 0.272
-1.123 -1.740 4.021
-4.013 0.974 1.845
Cl Ta Re
1 1 2
Cartesian
0.000 0.000 0.000
-4.166 -1.977 3.069
-2.083 -0.988 1.535
-6.250 -2.965 4.604
```

Output
relative energy among the computed polymorphs = 935 meV per atom



2.
Compound: TaRe2Cl
Source: Alexandria
Functional: PBE
Structure: optimized geometry

POSCAR file:
```
TaRe2Cl
1.0
-4.095 2.208 1.974
-0.802 -1.129 4.861
3.978 1.622 -2.663
Cl Re Ta
1 2 1
Cartesian
-1.283 2.185 1.364
0.363 0.516 2.807
0.000 0.000 0.000
-2.449 0.540 3.417
```

Output
relative energy among the computed polymorphs = 989 meV per atom



3.
Compound: Ta2ReCl
Source: Alexandria
Functional: PBE
Structure: optimized geometry

POSCAR file:
```
Ta2ReCl
1.0
-8.813 -0.302 1.032
-8.389 -2.871 -0.462
-8.042 -2.793 2.519
Ta Cl Re
2 1 1
Cartesian
-12.587 -2.975 1.541
-0.034 -0.008 0.004
-6.311 -1.491 0.773
-18.933 -4.474 2.318
```

Output
relative energy among the computed polymorphs = 265 meV per atom



Please write out number 2 again, unchanged.
Compound: TaRe2Cl
Source: Alexandria
Functional: PBE
Structure: optimized geometry

POSCAR file:
```
TaRe2Cl
1.0
-4.095 2.208 1.974
-0.802 -1.129 4.861
3.978 1.622 -2.663
Cl Re Ta
1 2 1
Cartesian
-1.283 2.185 1.364
0.363 0.516 2.807
0.000 0.000 0.000
-2.449 0.540 3.417
```

Output
relative energy among the computed polymorphs = 989 meV per atom



relative energy among the computed polymorphs of number 2 (TaRe2Cl)? 989 meV per atom



Copy entry 3 word for word.
Compound: Ta2ReCl
Source: Alexandria
Functional: PBE
Structure: optimized geometry

POSCAR file:
```
Ta2ReCl
1.0
-8.813 -0.302 1.032
-8.389 -2.871 -0.462
-8.042 -2.793 2.519
Ta Cl Re
2 1 1
Cartesian
-12.587 -2.975 1.541
-0.034 -0.008 0.004
-6.311 -1.491 0.773
-18.933 -4.474 2.318
```

Output
relative energy among the computed polymorphs = 265 meV per atom



relative energy among the computed polymorphs of number 1 (TaRe2Cl)? 935 meV per atom